Mg2AlCu | GGA-PBE | relaxed

Geometry as CIF:
```
data_Mg2AlCu
_chemical_formula_sum 'Mg8 Al4 Cu4'
_cell_length_a 4.037
_cell_length_b 4.037
_cell_length_c 19.140
_cell_angle_alpha 90.00
_cell_angle_beta 90.00
_cell_angle_gamma 90.00
_space_group_name_H-M_alt 'I -4 2 d'
_space_group_IT_number 122
_space_group_name_Hall 'I -4 2bw'
loop_
_atom_site_label
_atom_site_type_symbol
_atom_site_fract_x
_atom_site_fract_y
_atom_site_fract_z
_atom_site_occupancy
Mg1 Mg 0.243 0.250 0.125 1
Al1 Al 0.000 0.000 0.500 1
Cu1 Cu 0.000 0.000 0.000 1
```

Properties
The calculation puts the density of states at the Fermi level at 1.92 states/eV/f.u. The uncorrected energy comes out at -2.491 eV/atom. The calculated formation energy is 0.27 eV per atom.